Entry 1:
Material: LiCd3F
Method: DFT, PBE-GGA
State: relaxed

Geometry as POSCAR:
```
LiCd3F
1.0
4.8939 0.0000 0.0000
0.0000 4.8939 0.0000
0.0000 0.0000 4.8939
F Li Cd
1 1 3
direct
0.0000 0.0000 0.0000
0.5000 0.5000 0.5000
0.0000 0.5000 0.0000
0.0000 0.0000 0.5000
0.5000 0.0000 0.0000
```

Results
M_tot	0.00	μB/cell
Fermi-level density of states	1.95	states/eV/cell
energy above the lowest structure with this stoichiometry	0.0	meV/atom
ΔE_f (raw)	-36.13	kJ per mole of atoms


Entry 2:
Material: LiCdF2
Method: DFT, PBE-GGA
State: relaxed

Geometry as POSCAR:
```
LiCdF2
1.0
1.9583 0.0000 6.8687
-0.9792 1.6960 6.8687
-0.9792 -1.6960 6.8687
F Li Cd
2 1 1
direct
0.9165 0.9165 0.9165
0.0835 0.0835 0.0835
0.0000 0.0000 0.0000
0.5000 0.5000 0.5000
```

Results
M_tot	0.00	μB/cell
Fermi-level density of states	0.52	states/eV/cell
energy above the lowest structure with this stoichiometry	339.4	meV/atom
ΔE_f (raw)	-180.60	kJ per mole of atoms


Entry 3:
Material: LiCd2F6
Method: DFT, PBE-GGA
State: relaxed

Geometry as POSCAR:
```
LiCd2F6
1.0
-1.4026 -0.2257 4.8025
7.6849 -4.7361 2.0219
0.0118 9.2404 0.4376
Li Cd F
3 6 18
direct
0.4913 0.3333 0.6667
0.0000 0.0000 0.0000
0.5087 0.6667 0.3333
0.0000 0.6387 0.6387
0.5000 0.3033 0.3033
0.0000 0.0000 0.3613
0.5000 0.6967 0.0000
0.5000 0.0000 0.6967
0.0000 0.3613 0.0000
0.2230 0.7870 0.8801
0.7193 0.5480 0.7641
0.2626 0.4173 0.5375
0.2626 0.4625 0.8798
0.7193 0.2161 0.4520
0.2230 0.0931 0.2130
0.7193 0.2359 0.7839
0.7770 0.9069 0.1199
0.2626 0.1202 0.5827
0.2230 0.1199 0.9069
0.2807 0.7839 0.2359
0.7374 0.8798 0.4625
0.7374 0.5827 0.1202
0.2807 0.7641 0.5480
0.7770 0.8801 0.7870
0.2807 0.4520 0.2161
0.7374 0.5375 0.4173
0.7770 0.2130 0.0931
```

Results
M_tot	3.21	μB/cell
Fermi-level density of states	15.29	states/eV/cell
energy above the lowest structure with this stoichiometry	0.0	meV/atom
ΔE_f (raw)	-201.29	kJ per mole of atoms


Entry 4:
Material: LiCdF3
Method: DFT, PBE-GGA
State: relaxed

Geometry as POSCAR:
```
LiCdF3
1.0
-1.6287 3.2691 -0.9903
-2.8528 0.0879 4.9820
3.9557 3.0956 3.7134
Li Cd F
2 2 6
direct
0.7500 0.0156 0.6790
0.2500 0.9844 0.3210
0.7500 0.4483 0.2514
0.2500 0.5517 0.7486
0.7500 0.3636 0.6442
0.2500 0.9530 0.6535
0.7500 0.6928 0.9160
0.2500 0.6364 0.3558
0.2500 0.3072 0.0840
0.7500 0.0470 0.3465
```

Results
M_tot	0.02	μB/cell
Fermi-level density of states	0.00	states/eV/cell
energy above the lowest structure with this stoichiometry	0.0	meV/atom
ΔE_f (raw)	-237.96	kJ per mole of atoms


Entry 5:
Material: LiCdF3
Method: DFT, PBE-GGA
State: relaxed

Geometry as POSCAR:
```
LiCdF3
1.0
-5.0443 -2.2399 -0.1730
-1.2122 -4.3248 3.2125
-3.5461 0.8297 4.5248
Li Cd F
2 2 6
direct
0.8524 0.8524 0.4428
0.1476 0.1476 0.5572
0.3595 0.3595 0.9214
0.6405 0.6405 0.0786
0.7764 0.4423 0.7387
0.0426 0.7764 0.7387
0.4423 0.0426 0.7387
0.2236 0.5577 0.2613
0.9574 0.2236 0.2613
0.5577 0.9574 0.2613
```

Results
M_tot	0.00	μB/cell
Fermi-level density of states	0.00	states/eV/cell
energy above the lowest structure with this stoichiometry	17.3	meV/atom
ΔE_f (raw)	-236.28	kJ per mole of atoms


Entry 6:
Material: Li2Cd2F5
Method: DFT, PBE-GGA
State: relaxed

Geometry as POSCAR:
```
Li2Cd2F5
1.0
5.7518 0.0000 0.0000
0.0000 5.5657 0.0000
-2.8759 -2.7828 7.3246
Li Cd F
4 4 10
direct
0.0000 0.9959 0.0000
0.5000 0.4959 0.0000
0.1850 0.2878 0.5000
0.8150 0.7878 0.5000
0.1320 0.6272 0.2182
0.8680 0.4090 0.7818
0.5862 0.1272 0.2182
0.4138 0.9090 0.7818
0.2369 0.7247 0.9534
0.7631 0.7713 0.0466
0.2165 0.2247 0.9534
0.7835 0.2713 0.0466
0.2310 0.0842 0.2847
0.7690 0.7996 0.7153
0.5537 0.5842 0.2847
0.4463 0.2996 0.7153
0.1233 0.6363 0.5000
0.8767 0.1363 0.5000
```

Results
M_tot	0.00	μB/cell
Fermi-level density of states	3.19	states/eV/cell
ΔE_f (raw)	-218.86	kJ per mole of atoms